A plane-wave DFT calculation with GGA+U was carried out for AgSnMo2F after structural relaxation.

Geometry as CIF:
```
data_AgSnMo2F
_chemical_formula_sum 'Ag1 Sn1 Mo2 F1'
_cell_length_a 4.808
_cell_length_b 4.835
_cell_length_c 4.808
_cell_angle_alpha 90.00
_cell_angle_beta 90.00
_cell_angle_gamma 90.00
_symmetry_space_group_name_H-M 'P 1'
_symmetry_Int_Tables_number 1
_symmetry_space_group_name_Hall 'P 1'
loop_
_atom_site_label
_atom_site_type_symbol
_atom_site_fract_x
_atom_site_fract_y
_atom_site_fract_z
Mo1 Mo 0.500 0.000 0.000
Mo2 Mo 0.000 0.000 0.500
Sn1 Sn 0.000 0.500 0.000
F1 F 0.000 0.000 0.000
Ag1 Ag 0.500 0.500 0.500
```

## Properties
symmetry = P4/mmm (123)
E = -20.27 eV/cell
ρ = 6.500 g/cm³